No. 1
! K2PuInBr8 | Alexandria | GGA-PBE | relaxed; values from VASP
&SYSTEM
  ibrav = 0, nat = 12, ntyp = 4
/
ATOMIC_SPECIES
K 39.10 K.upf
Pu 244.00 Pu.upf
In 114.82 In.upf
Br 79.90 Br.upf
ATOMIC_POSITIONS angstrom
K 0.000 2.144 0.000
K 0.000 6.651 0.000
Pu 3.325 4.397 3.681
In 3.325 0.000 3.681
Br 1.892 4.397 1.262
Br 1.695 2.109 4.602
Br 1.695 6.686 4.602
Br 2.054 0.000 1.389
Br 4.596 0.000 5.972
Br 4.956 2.109 2.759
Br 4.956 6.686 2.759
Br 4.759 4.397 6.099
CELL_PARAMETERS angstrom
7.112 0.000 0.000
0.000 8.795 0.000
-0.461 0.000 7.361
! calculated volume = 460.43 Å³ per cell
! SG = P2/m (10)
! calculated total energy = -48.59 eV per cell
! formation energy from raw total energies = -15.94 eV per formula unit
! D(E_F) = 10.57 states/eV per cell

=====

No. 2
! KPuInBr6 | Alexandria | GGA-PBE | relaxed; values from VASP
&SYSTEM
  ibrav = 0, nat = 18, ntyp = 4
/
ATOMIC_SPECIES
K 39.10 K.upf
Pu 244.00 Pu.upf
In 114.82 In.upf
Br 79.90 Br.upf
ATOMIC_POSITIONS angstrom
K 0.000 0.000 0.000
K 3.640 3.640 6.935
Pu 0.000 0.000 9.224
Pu 3.640 3.640 2.289
In 0.000 0.000 4.605
In 3.640 3.640 11.540
Br 1.305 1.305 7.115
Br 1.395 1.395 11.196
Br 1.668 1.668 2.357
Br 1.971 5.308 9.292
Br 2.244 5.035 4.261
Br 2.334 4.945 0.180
Br 4.945 2.334 0.180
Br 5.035 2.244 4.261
Br 5.308 1.971 9.292
Br 5.611 5.611 2.357
Br 5.884 5.884 11.196
Br 5.974 5.974 7.115
CELL_PARAMETERS angstrom
7.279 0.000 0.000
0.000 7.279 0.000
0.000 0.000 13.870
! calculated volume = 734.92 Å³ per cell
! SG = P4_2nm (102)
! calculated total energy = -79.41 eV per cell
! formation energy from raw total energies = -11.50 eV per formula unit
! D(E_F) = 12.23 states/eV per cell

=====

No. 3
! KRbIn2Br8 | Alexandria | GGA-PBE | relaxed; values from VASP
&SYSTEM
  ibrav = 0, nat = 12, ntyp = 4
/
ATOMIC_SPECIES
K 39.10 K.upf
Rb 85.47 Rb.upf
In 114.82 In.upf
Br 79.90 Br.upf
ATOMIC_POSITIONS angstrom
K 0.000 0.000 0.000
Rb 0.000 3.703 4.329
In 3.703 0.000 4.329
In 0.000 0.000 8.658
Br 5.524 -1.084 2.900
Br 2.619 -1.820 5.758
Br 2.569 1.878 -1.384
Br 1.883 1.084 2.900
Br 1.826 -1.134 10.042
Br 4.787 1.820 5.758
Br 1.134 1.826 7.274
Br 1.878 4.837 1.384
CELL_PARAMETERS angstrom
-3.703 3.703 8.658
3.703 -3.703 8.658
3.703 3.703 -8.658
! calculated volume = 474.97 Å³ per cell
! SG = I-4 (82)
! calculated total energy = -34.80 eV per cell
! formation energy from raw total energies = -13.87 eV per formula unit
! D(E_F) = 0.00 states/eV per cell

=====

No. 4
! K2Rb3InBr6 | Alexandria | GGA-PBE | relaxed; values from VASP
&SYSTEM
  ibrav = 0, nat = 12, ntyp = 4
/
ATOMIC_SPECIES
K 39.10 K.upf
Rb 85.47 Rb.upf
In 114.82 In.upf
Br 79.90 Br.upf
ATOMIC_POSITIONS angstrom
K 2.783 0.000 3.140
K 16.119 0.000 6.295
Rb 1.655 0.000 7.863
Rb 9.451 0.000 4.717
Rb 17.247 0.000 1.572
In 10.557 0.000 0.000
Br -0.477 0.000 2.308
Br 6.050 0.000 3.993
Br 5.069 0.000 8.585
Br 13.834 0.000 0.850
Br 12.852 0.000 5.442
Br 19.379 0.000 7.126
CELL_PARAMETERS angstrom
10.557 -2.425 0.000
10.557 2.425 0.000
-2.212 0.000 9.435
! calculated volume = 483.15 Å³ per cell
! SG = C2/m (12)
! calculated total energy = -36.63 eV per cell
! formation energy from raw total energies = -18.76 eV per formula unit
! D(E_F) = 0.00 states/eV per cell

=====

No. 5
! KRb2InBr6 | Alexandria | GGA-PBE | relaxed; values from VASP
&SYSTEM
  ibrav = 0, nat = 10, ntyp = 4
/
ATOMIC_SPECIES
K 39.10 K.upf
Rb 85.47 Rb.upf
In 114.82 In.upf
Br 79.90 Br.upf
ATOMIC_POSITIONS angstrom
K 0.000 0.000 0.000
Rb 2.914 2.914 2.914
Rb 8.743 8.743 8.743
In 5.829 5.829 5.829
Br 5.829 5.829 3.126
Br 5.829 3.126 5.829
Br 8.531 5.829 5.829
Br 3.126 5.829 5.829
Br 5.829 8.531 5.829
Br 5.829 5.829 8.531
CELL_PARAMETERS angstrom
0.000 5.829 5.829
5.829 0.000 5.829
5.829 5.829 0.000
! calculated volume = 396.05 Å³ per cell
! SG = Fm-3m (225)
! calculated total energy = -29.43 eV per cell
! formation energy from raw total energies = -13.62 eV per formula unit
! D(E_F) = 0.00 states/eV per cell

=====

No. 6
! K2RbIn3Br6 | Alexandria | GGA-PBE | relaxed; values from VASP
&SYSTEM
  ibrav = 0, nat = 12, ntyp = 4
/
ATOMIC_SPECIES
K 39.10 K.upf
Rb 85.47 Rb.upf
In 114.82 In.upf
Br 79.90 Br.upf
ATOMIC_POSITIONS angstrom
K 2.786 0.000 3.144
K 15.892 0.000 6.154
Rb 10.401 0.000 0.000
In 1.734 0.000 7.751
In 9.339 0.000 4.649
In 16.944 0.000 1.547
Br -0.471 0.000 2.446
Br 4.919 0.000 8.426
Br 6.051 0.000 3.872
Br 12.626 0.000 5.425
Br 13.759 0.000 0.871
Br 19.149 0.000 6.851
CELL_PARAMETERS angstrom
10.401 -2.392 0.000
10.401 2.392 0.000
-2.124 0.000 9.297
! calculated volume = 462.57 Å³ per cell
! SG = C2/m (12)
! calculated total energy = -35.72 eV per cell
! formation energy from raw total energies = -14.30 eV per formula unit
! D(E_F) = 0.00 states/eV per cell

=====

No. 7
! KRb2InBr4 | Alexandria | GGA-PBE | relaxed; values from VASP
&SYSTEM
  ibrav = 0, nat = 8, ntyp = 4
/
ATOMIC_SPECIES
K 39.10 K.upf
Rb 85.47 Rb.upf
In 114.82 In.upf
Br 79.90 Br.upf
ATOMIC_POSITIONS angstrom
K 0.000 0.000 0.000
Rb 2.787 0.000 3.956
Rb 4.189 2.427 0.000
In -1.402 2.427 3.956
Br -0.091 0.000 5.915
Br 1.312 2.427 1.944
Br 5.666 0.000 1.998
Br 4.262 2.427 5.968
CELL_PARAMETERS angstrom
8.378 0.000 0.000
0.000 4.853 0.000
-2.803 0.000 7.912
! calculated volume = 321.74 Å³ per cell
! SG = P2/m (10)
! calculated total energy = -24.23 eV per cell
! formation energy from raw total energies = -11.77 eV per formula unit
! D(E_F) = 0.00 states/eV per cell

=====

No. 8
! KRbInBr4 | Alexandria | GGA-PBE | relaxed; values from VASP
&SYSTEM
  ibrav = 0, nat = 14, ntyp = 4
/
ATOMIC_SPECIES
K 39.10 K.upf
Rb 85.47 Rb.upf
In 114.82 In.upf
Br 79.90 Br.upf
ATOMIC_POSITIONS angstrom
K 3.988 6.778 5.991
K 3.988 -6.778 1.997
Rb 3.988 1.888 5.991
Rb 3.988 -1.888 1.997
In 3.988 4.374 1.997
In 3.988 -4.374 5.991
Br 1.994 4.342 0.000
Br 1.994 4.342 3.994
Br 3.988 7.320 1.997
Br 3.988 1.465 1.997
Br 1.994 -4.342 0.000
Br 1.994 -4.342 3.994
Br 3.988 -1.465 5.991
Br 3.988 -7.320 5.991
CELL_PARAMETERS angstrom
3.988 -8.684 0.000
3.988 8.684 0.000
0.000 0.000 7.987
! calculated volume = 553.30 Å³ per cell
! SG = Cmcm (63)
! calculated total energy = -41.06 eV per cell
! formation energy from raw total energies = -9.03 eV per formula unit
! D(E_F) = 1.90 states/eV per cell

=====

No. 9
! K3RbIn2Br6 | Alexandria | GGA-PBE | relaxed; values from VASP
&SYSTEM
  ibrav = 0, nat = 12, ntyp = 4
/
ATOMIC_SPECIES
K 39.10 K.upf
Rb 85.47 Rb.upf
In 114.82 In.upf
Br 79.90 Br.upf
ATOMIC_POSITIONS angstrom
K 0.000 0.000 0.000
K 5.438 0.000 6.216
K 13.161 0.000 3.071
Rb -1.109 0.000 4.643
In 6.559 0.000 1.548
In 12.041 0.000 7.739
Br 3.297 0.000 0.766
Br 2.241 0.000 5.405
Br 8.700 0.000 7.047
Br 9.900 0.000 2.239
Br 16.358 0.000 3.882
Br 15.303 0.000 8.521
CELL_PARAMETERS angstrom
10.408 -2.387 0.000
10.408 2.387 0.000
-2.217 0.000 9.287
! calculated volume = 461.47 Å³ per cell
! SG = C2/m (12)
! calculated total energy = -36.31 eV per cell
! formation energy from raw total energies = -16.54 eV per formula unit
! D(E_F) = 0.00 states/eV per cell

=====

No. 10
! KRb2In3Br6 | Alexandria | GGA-PBE | relaxed; values from VASP
&SYSTEM
  ibrav = 0, nat = 12, ntyp = 4
/
ATOMIC_SPECIES
K 39.10 K.upf
Rb 85.47 Rb.upf
In 114.82 In.upf
Br 79.90 Br.upf
ATOMIC_POSITIONS angstrom
K 0.000 0.000 0.000
Rb 5.583 0.000 6.306
Rb 13.274 0.000 3.062
In -1.047 0.000 4.684
In 6.690 0.000 1.585
In 12.167 0.000 7.783
Br 3.269 0.000 0.633
Br 2.213 0.000 5.472
Br 9.880 0.000 2.289
Br 8.977 0.000 7.079
Br 16.644 0.000 3.897
Br 15.588 0.000 8.735
CELL_PARAMETERS angstrom
10.475 -2.413 0.000
10.475 2.413 0.000
-2.094 0.000 9.368
! calculated volume = 473.63 Å³ per cell
! SG = C2/m (12)
! calculated total energy = -35.58 eV per cell
! formation energy from raw total energies = -14.29 eV per formula unit
! D(E_F) = 0.00 states/eV per cell

=====

No. 11
! KRb2In2Br6 | Alexandria | GGA-PBE | relaxed; values from VASP
&SYSTEM
  ibrav = 0, nat = 11, ntyp = 4
/
ATOMIC_SPECIES
K 39.10 K.upf
Rb 85.47 Rb.upf
In 114.82 In.upf
Br 79.90 Br.upf
ATOMIC_POSITIONS angstrom
K 0.000 0.000 0.000
Rb -0.248 0.000 5.466
Rb 9.305 0.000 2.809
In 4.817 0.000 2.671
In 4.240 0.000 5.604
Br 2.483 2.168 5.736
Br 3.354 0.000 0.358
Br 6.574 2.168 2.539
Br 2.483 -2.168 5.736
Br 5.703 0.000 7.916
Br 6.574 -2.168 2.539
CELL_PARAMETERS angstrom
7.001 -4.262 0.000
7.001 4.262 0.000
-4.945 0.000 8.275
! calculated volume = 493.88 Å³ per cell
! SG = C2/m (12)
! calculated total energy = -31.96 eV per cell
! formation energy from raw total energies = -13.41 eV per formula unit
! D(E_F) = 6.19 states/eV per cell

=====

No. 12
! KInSBr2 | Alexandria | GGA-PBE | relaxed; values from VASP
&SYSTEM
  ibrav = 0, nat = 5, ntyp = 4
/
ATOMIC_SPECIES
K 39.10 K.upf
In 114.82 In.upf
S 32.06 S.upf
Br 79.90 Br.upf
ATOMIC_POSITIONS angstrom
K 0.000 0.000 0.000
In 3.080 3.080 2.903
S 0.000 0.000 2.903
Br 0.000 3.080 0.000
Br 3.080 0.000 0.000
CELL_PARAMETERS angstrom
6.159 0.000 0.000
0.000 6.159 0.000
0.000 0.000 5.806
! calculated volume = 220.27 Å³ per cell
! SG = P4/mmm (123)
! calculated total energy = -11.95 eV per cell
! formation energy from raw total energies = -0.64 eV per formula unit
! D(E_F) = 4.37 states/eV per cell